LiCdHIr2 after structural relaxation, computed with PBE.

Cell: 3.8852 3.8852 4.2483 Å, 90.00 90.00 90.00°
Last column: nearest neighbours and their distance in Å.
Space group P4/mmm (No. 123)
Unique sites:
Li 0.0000 0.0000 0.0000 [1 per cell]  2 H 2.12
Cd 0.5000 0.5000 0.0000 [1 per cell]  4 Li 2.75, 8 Ir 2.88
H 0.0000 0.0000 0.5000 [1 per cell]  4 Ir 1.94, 2 Li 2.12
Ir 0.0000 0.5000 0.5000 [2 per cell]  2 H 1.94

Results
E above lowest polymorph: 0 meV per atom
total magnetic moment: 0.00 μB/f.u.



UZn4Ir after structural relaxation, computed with PBE.

Cell: 7.3201 7.3201 7.3201 Å, 90.00 90.00 90.00°
Last column: nearest neighbours and their distance in Å.
Space group F-43m (No. 216)
Unique sites:
U 0.0000 0.0000 0.0000 [4 per cell]  12 Zn 3.04, 4 Ir 3.17
Zn 0.1239 0.1239 0.3761 [16 per cell]  6 Zn 2.56-2.61
Ir 0.2500 0.2500 0.7500 [4 per cell]  12 Zn 3.03, 4 U 3.17

Results
uncorrected energy: -4.257 eV/atom
total magnetic moment: 3.01 μB/f.u.



YSe2Cl after structural relaxation, computed with PBE.

Cell: 4.6036 4.6036 8.4212 Å, 90.00 90.00 90.00°
Last column: nearest neighbours and their distance in Å.
Space group I-4m2 (No. 119)
Unique sites:
Y 0.0000 0.0000 0.0000 [2 per cell]  4 Cl 3.12, 8 Se 3.12-3.26
Se 0.0000 0.0000 0.5000 [2 per cell]  4 Cl 3.12, 4 Se 3.12, 4 Y 3.26
Se 0.0000 0.5000 0.2500 [2 per cell]  4 Se 3.12, 4 Y 3.12, 4 Cl 3.26
Cl 0.0000 0.5000 0.7500 [2 per cell]  8 Se 3.12-3.26, 4 Y 3.12

Results
E above lowest polymorph: 574 meV per atom
formation energy (no corrections): -829 meV per atom
total magnetic moment: 0.18 μB/f.u.



Zr2HgO2 after structural relaxation, computed with PBE.

Cell: 3.5821 3.5821 12.5799 Å, 90.00 90.00 90.00°
Last column: nearest neighbours and their distance in Å.
Space group I4/mmm (No. 139)
Unique sites:
Zr 0.0000 0.0000 0.1530 [4 per cell]  4 O 2.17
Hg 0.0000 0.0000 0.5000 [2 per cell]  8 Zr 3.18
O 0.0000 0.5000 0.2500 [4 per cell]  4 Zr 2.17

Results
formation energy (no corrections): -2007 meV per atom
total magnetic moment: 0.00 μB/f.u.



Na4NdEr3Te8 after structural relaxation, computed with PBE.

Cell: 8.8755 8.8755 22.7054 Å, 90.00 90.00 120.00°
Last column: nearest neighbours and their distance in Å.
Space group R-3m (No. 166, hexagonal axes)
Unique sites:
Na 0.0000 0.0000 0.0000 [3 per cell]  6 Te 3.21
Na 0.0000 0.5000 0.0000 [9 per cell]  6 Te 3.28-3.29
Nd 0.0000 0.0000 0.5000 [3 per cell]  6 Te 3.16
Er 0.0000 0.5000 0.5000 [9 per cell]  6 Te 3.09
Te 0.0000 0.0000 0.2430 [6 per cell]  3 Er 3.09, 3 Na 3.28
Te 0.0082 0.5041 0.7556 [18 per cell]  2 Er 3.09, 1 Nd 3.16, 3 Na 3.21-3.29

Results
formation energy (no corrections): -1307 meV per atom
total magnetic moment: 0.00 μB/f.u.



Tm4AgPt7 after structural relaxation, computed with PBE.

Cell: 10.8229 5.1725 10.2725 Å, 90.00 120.76 90.00°
Last column: nearest neighbours and their distance in Å.
Space group C2/m (No. 12)
Unique sites:
Tm 0.0953 0.0000 0.2856 [4 per cell]  8 Pt 2.80-3.03
Tm 0.2230 0.5000 0.1413 [4 per cell]  5 Pt 2.74-2.91
Ag 0.0000 0.5000 0.5000 [2 per cell]  4 Pt 2.59-2.88
Pt 0.0000 0.0000 0.5000 [2 per cell]  2 Ag 2.59, 2 Pt 2.74, 2 Tm 2.87
Pt 0.0751 0.5000 0.8125 [4 per cell]  2 Pt 2.70-2.74, 1 Ag 2.88, 1 Tm 2.91
Pt 0.1345 0.0000 0.0290 [4 per cell]  2 Pt 2.66-2.70, 5 Tm 2.79-2.90
Pt 0.2117 0.5000 0.4013 [4 per cell]  4 Tm 2.74-2.86, 2 Pt 2.74, 1 Ag 2.94

Results
uncorrected energy: -6.112 eV/atom
total magnetic moment: 0.00 μB/f.u.



Al3Cu5 after structural relaxation, computed with PBE.

Cell: 5.0438 6.7612 6.7953 Å, 84.46 71.58 71.18°
Last column: nearest neighbours and their distance in Å.
Space group P-1 (No. 2)
Unique sites:
Al 0.0212 0.1735 0.0724 [2 per cell]  9 Cu 2.52-2.70, 2 Al 2.72-2.81
Al 0.2514 0.9633 0.5352 [2 per cell]  4 Al 2.60-2.81, 8 Cu 2.60-2.67
Al 0.4760 0.4289 0.3268 [2 per cell]  9 Cu 2.52-2.70, 2 Al 2.73-2.79
Cu 0.0096 0.6660 0.5869 [2 per cell]  6 Cu 2.59-2.73, 6 Al 2.59-2.70
Cu 0.2466 0.7987 0.2056 [2 per cell]  5 Al 2.57-2.67, 7 Cu 2.61-2.70
Cu 0.2503 0.4612 0.0384 [2 per cell]  4 Al 2.52-2.60, 8 Cu 2.62-2.71
Cu 0.2530 0.2934 0.7022 [2 per cell]  7 Cu 2.59-2.71, 5 Al 2.59-2.66
Cu 0.4895 0.9151 0.8333 [2 per cell]  6 Al 2.59-2.70, 6 Cu 2.61-2.73

Results
uncorrected energy: -4.149 eV/atom
total magnetic moment: 0.00 μB/f.u.



K2ReMo after structural relaxation, computed with PBE.

Cell: 3.3822 6.2616 11.7971 Å, 90.00 90.00 90.00°
Last column: nearest neighbours and their distance in Å.
Space group Imm2 (No. 44)
Unique sites:
K 0.0000 0.0000 0.0000 [2 per cell]  2 K 3.38, 4 Re 3.65
K 0.0000 0.5000 0.2113 [2 per cell]  2 K 3.38, 4 Mo 3.70, 2 Re 3.72
Re 0.0000 0.0000 0.4306 [2 per cell]  2 Mo 2.31
Mo 0.0000 0.5000 0.7971 [2 per cell]  2 Re 2.31

Results
E above lowest polymorph: 317 meV per atom
total magnetic moment: 0.00 μB/f.u.



SrAsPtBr2 after structural relaxation, computed with PBE.

Cell: 5.3403 5.3403 4.8922 Å, 90.00 90.00 90.00°
Last column: nearest neighbours and their distance in Å.
Space group P4/mmm (No. 123)
Unique sites:
Sr 0.0000 0.0000 0.0000 [1 per cell]  8 Br 3.62, 4 As 3.78
As 0.5000 0.5000 0.0000 [1 per cell]  2 Pt 2.45
Pt 0.5000 0.5000 0.5000 [1 per cell]  2 As 2.45, 4 Br 2.67
Br 0.0000 0.5000 0.5000 [2 per cell]  2 Pt 2.67

Results
E above lowest polymorph: 0 meV per atom
formation energy (no corrections): -567 meV per atom
total magnetic moment: 0.00 μB/f.u.



TbPm2Ge2 after structural relaxation, computed with PBE.

Cell: 5.0544 5.0544 6.2813 Å, 90.00 90.00 120.00°
Last column: nearest neighbours and their distance in Å.
Space group P-3m1 (No. 164)
Unique sites:
Tb 0.0000 0.0000 0.0000 [1 per cell]  6 Ge 3.18, 6 Pm 3.51
Pm 0.3333 0.6667 0.3099 [2 per cell]  5 Ge 2.99-3.22
Ge 0.3333 0.6667 0.7971 [2 per cell]  5 Pm 2.99-3.22, 3 Tb 3.18

Results
E above lowest polymorph: 130 meV per atom
total magnetic moment: 0.00 μB/f.u.



LiErPtO4 after structural relaxation, computed with PBE.

Cell: 6.3098 6.7934 8.7355 Å, 90.00 90.00 90.00°
Last column: nearest neighbours and their distance in Å.
Space group Imma (No. 74)
Unique sites:
Li 0.0000 0.2500 0.0856 [4 per cell]  2 O 1.91
Er 0.0000 0.0000 0.5000 [4 per cell]  6 O 2.24-2.28
Pt 0.2500 0.2500 0.7500 [4 per cell]  6 O 2.08
O 0.0000 0.0512 0.7583 [8 per cell]  2 Pt 2.08, 1 Er 2.28
O 0.2301 0.2500 0.5123 [8 per cell]  1 Li 1.91, 1 Pt 2.08

Results
formation energy (no corrections): -1929 meV per atom
total magnetic moment: 0.00 μB/f.u.



Nd2MgGa2Pt5 after structural relaxation, computed with PBE.

Cell: 9.9749 9.9749 3.8010 Å, 90.00 90.00 90.00°
Last column: nearest neighbours and their distance in Å.
Space group P4/mbm (No. 127)
Unique sites:
Nd 0.1768 0.3232 0.0000 [4 per cell]  3 Ga 2.83-3.03, 2 Pt 3.14
Mg 0.0000 0.0000 0.0000 [2 per cell]  8 Pt 2.88
Ga 0.1224 0.6224 0.0000 [4 per cell]  6 Pt 2.57-2.61, 1 Nd 2.83
Pt 0.0000 0.5000 0.5000 [2 per cell]  4 Ga 2.57
Pt 0.0613 0.7917 0.5000 [8 per cell]  2 Ga 2.61, 2 Mg 2.88

Results
uncorrected energy: -5.587 eV/atom
total magnetic moment: 0.00 μB/f.u.



Tb6Ho2In3 after structural relaxation, computed with PBE.

Cell: 4.5334 4.5334 33.4279 Å, 90.00 90.00 90.00°
Last column: nearest neighbours and their distance in Å.
Space group I4/mmm (No. 139)
Unique sites:
Tb 0.0000 0.0000 0.2129 [4 per cell]  5 In 3.13-3.27
Tb 0.0000 0.5000 0.1266 [8 per cell]  2 In 3.18, 4 Tb 3.21, 2 Ho 3.56
Ho 0.0000 0.0000 0.0445 [4 per cell]  1 Ho 2.98
In 0.0000 0.0000 0.3065 [4 per cell]  9 Tb 3.13-3.27
In 0.0000 0.0000 0.5000 [2 per cell]  8 Ho 3.53

Results
uncorrected energy: -4.086 eV/atom
total magnetic moment: 0.00 μB/f.u.



CaMn2Ru after structural relaxation, computed with PBE.

Cell: 5.9454 6.9116 3.2952 Å, 90.00 90.34 90.00°
Last column: nearest neighbours and their distance in Å.
Space group C2/m (No. 12)
Unique sites:
Ca 0.0000 0.0000 0.0000 [2 per cell]  8 Mn 2.81-2.82, 2 Ru 2.97
Mn 0.2500 0.2500 0.5000 [4 per cell]  4 Ru 2.81-2.82, 4 Ca 2.81-2.82, 2 Mn 2.97
Ru 0.0000 0.5000 0.0000 [2 per cell]  8 Mn 2.81-2.82, 2 Ca 2.97

Results
E above lowest polymorph: 218 meV per atom
total magnetic moment: 7.51 μB/f.u.



In2Pt2I after structural relaxation, computed with PBE.

Cell: 7.7622 7.7622 3.5412 Å, 90.00 90.00 90.00°
Last column: nearest neighbours and their distance in Å.
Space group P4/mbm (No. 127)
Unique sites:
In 0.1539 0.3461 0.0000 [4 per cell]  6 Pt 2.88-2.89
Pt 0.1376 0.6376 0.5000 [4 per cell]  6 In 2.88-2.89, 2 I 3.01, 1 Pt 3.02
I 0.0000 0.0000 0.5000 [2 per cell]  4 Pt 3.01

Results
E above lowest polymorph: 10 meV per atom
formation energy (no corrections): -152 meV per atom
total magnetic moment: 0.00 μB/f.u.



Sn2TeRuPb after structural relaxation, computed with PBE.

Cell: 5.1463 5.1463 5.3245 Å, 90.00 90.00 90.00°
Last column: nearest neighbours and their distance in Å.
Space group P4/mmm (No. 123)
Unique sites:
Sn 0.0000 0.5000 0.0000 [2 per cell]  2 Ru 2.57
Te 0.0000 0.0000 0.5000 [1 per cell]  4 Pb 3.64, 8 Sn 3.70
Ru 0.5000 0.5000 0.0000 [1 per cell]  4 Sn 2.57, 2 Pb 2.66
Pb 0.5000 0.5000 0.5000 [1 per cell]  2 Ru 2.66

Results
formation energy (no corrections): -78 meV per atom
total magnetic moment: 0.00 μB/f.u.



ZnGaCoAg after structural relaxation, computed with PBE.

Cell: 6.0924 6.0924 6.0924 Å, 90.00 90.00 90.00°
Last column: nearest neighbours and their distance in Å.
Space group F-43m (No. 216)
Unique sites:
Zn 0.0000 0.0000 0.0000 [4 per cell]  4 Co 2.64, 4 Ag 2.64
Ga 0.0000 0.0000 0.5000 [4 per cell]  4 Co 2.64, 4 Ag 2.64
Co 0.2500 0.2500 0.7500 [4 per cell]  4 Zn 2.64, 4 Ga 2.64
Ag 0.2500 0.2500 0.2500 [4 per cell]  4 Zn 2.64, 4 Ga 2.64

Results
uncorrected energy: -3.520 eV/atom
total magnetic moment: 0.16 μB/f.u.



PuMgCo2 after structural relaxation, computed with PBE.

Cell: 4.5053 4.5053 3.1293 Å, 90.00 90.00 90.00°
Last column: nearest neighbours and their distance in Å.
Space group P4/mmm (No. 123)
Unique sites:
Pu 0.0000 0.0000 0.0000 [1 per cell]  8 Co 2.74
Mg 0.5000 0.5000 0.0000 [1 per cell]  8 Co 2.74
Co 0.0000 0.5000 0.5000 [2 per cell]  4 Mg 2.74, 4 Pu 2.74

Results
uncorrected energy: -7.455 eV/atom
total magnetic moment: 3.47 μB/f.u.



BaS2Cl after structural relaxation, computed with PBE.

Cell: 5.0601 5.0601 21.1365 Å, 90.00 90.00 120.00°
Last column: nearest neighbours and their distance in Å.
Space group R-3m (No. 166, hexagonal axes)
Unique sites:
Ba 0.0000 0.0000 0.0000 [3 per cell]  6 S 3.16
S 0.0000 0.0000 0.3901 [6 per cell]  1 Cl 2.32
Cl 0.0000 0.0000 0.5000 [3 per cell]  2 S 2.32

Results
E above lowest polymorph: 496 meV per atom
formation energy (no corrections): -724 meV per atom
total magnetic moment: 1.00 μB/f.u.



InPtBr2 after structural relaxation, computed with PBE.

Cell: 7.1846 7.1846 7.1846 Å, 90.00 90.00 90.00°
Last column: nearest neighbours and their distance in Å.
Space group Fm-3m (No. 225)
Unique sites:
In 0.0000 0.0000 0.0000 [4 per cell]  8 Br 3.11
Pt 0.0000 0.0000 0.5000 [4 per cell]  8 Br 3.11
Br 0.2500 0.2500 0.2500 [8 per cell]  4 In 3.11, 4 Pt 3.11

Results
E above lowest polymorph: 657 meV per atom
formation energy (no corrections): 341 meV per atom
total magnetic moment: 0.00 μB/f.u.